Record 1
VASP calculation (PBE-GGA) on an optimized crystal structure of Er8Ga2Te.

Output
ΔE_f (raw): -4.2 eV per formula unit
Size of the total moment: 0.00 μB/f.u.
SG: C2/m (12)

Cell: 9.8613 9.8613 6.8209 Å, 101.88 101.88 28.06°
Closest atoms and distances in Å follow each position.
Element x y z (fractional)
Er (0.0309, 0.0309, 0.2570)  1 Ga 2.97, 2 Te 3.04
Er (0.2163, 0.2163, 0.8270)  3 Ga 3.07-3.15, 4 Er 3.33-3.41
Er (0.3369, 0.3369, 0.5116)  3 Ga 2.97-3.06, 1 Te 3.14
Er (0.4026, 0.4026, 0.0251)  2 Ga 3.28, 1 Te 3.38, 8 Er 3.46-3.59
Er (0.5974, 0.5974, 0.9749)  2 Ga 3.28, 1 Te 3.38, 8 Er 3.46-3.59
Er (0.6631, 0.6631, 0.4884)  3 Ga 2.97-3.06, 1 Te 3.14
Er (0.7837, 0.7837, 0.1730)  3 Ga 3.07-3.15, 4 Er 3.33-3.41
Er (0.9691, 0.9691, 0.7430)  1 Ga 2.97, 2 Te 3.04
Ga (0.1856, 0.1856, 0.2505)  9 Er 2.97-3.28
Ga (0.8144, 0.8144, 0.7495)  9 Er 2.97-3.28
Te (0.5000, 0.5000, 0.5000)  8 Er 3.04-3.38


Record 2
VASP calculation (PBE-GGA) on an optimized crystal structure of Er6GaTe3.

Output
ΔE_f (raw): -8.0 eV per formula unit
Size of the total moment: 0.01 μB/f.u.
SG: P2_1/m (11)

Cell: 11.9396 3.9800 12.4669 Å, 90.00 104.03 90.00°
Closest atoms and distances in Å follow each position.
Element x y z (fractional)
Er (0.0117, 0.2500, 0.3521)  4 Te 3.12-3.17
Er (0.0821, 0.2500, 0.8837)  4 Te 2.99-3.13
Er (0.2610, 0.7500, 0.3009)  3 Te 3.04-3.05, 2 Ga 3.05
Er (0.2906, 0.7500, 0.7581)  3 Te 3.06-3.09, 1 Ga 3.34
Er (0.3932, 0.2500, 0.5429)  3 Ga 2.96-3.13, 2 Te 3.23
Er (0.4491, 0.7500, 0.1339)  3 Te 2.98-3.05, 2 Ga 2.98
Er (0.5509, 0.2500, 0.8661)  3 Te 2.98-3.05, 2 Ga 2.98
Er (0.6068, 0.7500, 0.4571)  3 Ga 2.96-3.13, 2 Te 3.23
Er (0.7094, 0.2500, 0.2419)  3 Te 3.06-3.09, 1 Ga 3.34
Er (0.7390, 0.2500, 0.6991)  3 Te 3.04-3.05, 2 Ga 3.05
Er (0.9179, 0.7500, 0.1163)  4 Te 2.99-3.13
Er (0.9883, 0.7500, 0.6479)  4 Te 3.12-3.17
Ga (0.4575, 0.2500, 0.3141)  7 Er 2.96-3.13
Ga (0.5425, 0.7500, 0.6859)  7 Er 2.96-3.13
Te (0.1153, 0.2500, 0.1406)  6 Er 3.04-3.17
Te (0.1746, 0.7500, 0.5109)  7 Er 3.04-3.23
Te (0.3401, 0.2500, 0.9535)  6 Er 2.98-3.09
Te (0.6599, 0.7500, 0.0465)  6 Er 2.98-3.09
Te (0.8254, 0.2500, 0.4891)  7 Er 3.04-3.23
Te (0.8847, 0.7500, 0.8594)  6 Er 3.04-3.17


Record 3
VASP calculation (PBE-GGA) on an optimized crystal structure of Er4GaTe4.

Output
ΔE_f (raw): -7.0 eV per formula unit
Size of the total moment: 0.03 μB/f.u.
SG: I-42m (121)

Cell: 8.7050 8.7050 8.7050 Å, 134.55 134.55 66.23°
Closest atoms and distances in Å follow each position.
Element x y z (fractional)
Er (0.0804, 0.6586, 0.0000)  1 Ga 2.77, 4 Te 3.01-3.07
Er (0.3414, 0.3414, 0.4218)  1 Ga 2.77, 4 Te 3.01-3.07
Er (0.6586, 0.0804, 0.0000)  1 Ga 2.77, 4 Te 3.01-3.07
Er (0.9196, 0.9196, 0.5782)  1 Ga 2.77, 4 Te 3.01-3.07
Ga (0.0000, 0.0000, 0.0000)  4 Er 2.77
Te (0.0000, 0.5000, 0.5000)  4 Er 3.07, 2 Ga 3.36
Te (0.2845, 0.2845, 0.0000)  4 Er 3.01-3.02
Te (0.5000, 0.0000, 0.5000)  4 Er 3.07, 2 Ga 3.36
Te (0.7155, 0.7155, 0.0000)  4 Er 3.01-3.02


Record 4
VASP calculation (PBE-GGA) on an optimized crystal structure of Er4GaTe2.

Output
ΔE_f (raw): -5.7 eV per formula unit
Size of the total moment: 0.00 μB/f.u.
SG: I4_122 (98)

Cell: 8.0611 8.0611 8.0611 Å, 109.37 109.37 109.68°
Closest atoms and distances in Å follow each position.
Element x y z (fractional)
Er (0.0037, 0.7726, 0.1684)  1 Ga 2.86, 3 Te 3.05-3.12
Er (0.1459, 0.4774, 0.7311)  1 Ga 2.86, 3 Te 3.05-3.12
Er (0.1647, 0.3959, 0.1684)  1 Ga 2.86, 3 Te 3.05-3.12
Er (0.2274, 0.9963, 0.8316)  1 Ga 2.86, 3 Te 3.05-3.12
Er (0.5226, 0.8541, 0.2689)  1 Ga 2.86, 3 Te 3.05-3.12
Er (0.5853, 0.2537, 0.7311)  1 Ga 2.86, 3 Te 3.05-3.12
Er (0.6041, 0.8353, 0.8316)  1 Ga 2.86, 3 Te 3.05-3.12
Er (0.7463, 0.4147, 0.2689)  1 Ga 2.86, 3 Te 3.05-3.12
Ga (0.2500, 0.7500, 0.5000)  4 Er 2.86
Ga (0.5000, 0.5000, 0.0000)  4 Er 2.86
Te (0.3750, 0.1582, 0.2832)  6 Er 3.05-3.12
Te (0.8418, 0.6250, 0.7168)  6 Er 3.05-3.12
Te (0.8750, 0.0918, 0.7168)  6 Er 3.05-3.12
Te (0.9082, 0.1250, 0.2832)  6 Er 3.05-3.12